(1)
Here is crystalline Pr3AsS2 at its relaxed geometry from OQMD via LeMat-Bulk. Energies are from GGA-PBE.

Lattice parameters (Å, degrees): 4.1829 4.1829 10.1798 90.00 90.00 120.00
Fractional positions:
Pr 0.0000 0.0000 0.0000
Pr 0.3333 0.6667 0.3286
Pr 0.6667 0.3333 0.6714
As 0.0000 0.0000 0.5000
S 0.3333 0.6667 0.8384
S 0.6667 0.3333 0.1616

Computed properties:
The calculation puts the total energy at -38.42 eV/cell. The crystal system is trigonal.

(2)
Here is crystalline Pr3As2Se at its relaxed geometry from OQMD via LeMat-Bulk. Energies are from GGA-PBE.

Lattice parameters (Å, degrees): 7.4327 7.4327 7.4327 146.42 131.85 59.98
Fractional positions:
Pr 0.0000 0.0000 0.0000
Pr 0.3284 0.3284 0.0000
Pr 0.6716 0.6716 0.0000
As 0.1658 0.6658 0.5000
As 0.8342 0.3342 0.5000
Se 0.5000 0.0000 0.5000

Computed properties:
The calculation puts the total energy at -37.16 eV/cell. Its polymorph energy (0 for the lowest one) is 0.0 meV per atom. The crystal system is orthorhombic.

(3)
Here is crystalline Pr3As2Se at its relaxed geometry from OQMD via LeMat-Bulk. Energies are from GGA-PBE.

Lattice parameters (Å, degrees): 4.2941 4.2941 10.5428 90.00 90.00 120.00
Fractional positions:
Pr 0.0000 0.0000 0.0000
Pr 0.3333 0.6667 0.3238
Pr 0.6667 0.3333 0.6762
As 0.3333 0.6667 0.8321
As 0.6667 0.3333 0.1679
Se 0.0000 0.0000 0.5000

Computed properties:
The calculation puts the total energy at -37.13 eV/cell. Its polymorph energy (0 for the lowest one) is 5.5 meV per atom. The crystal system is trigonal.

(4)
Here is crystalline Pr4As3Se4 at its relaxed geometry from OQMD via LeMat-Bulk. Energies are from GGA-PBE.

Lattice parameters (Å, degrees): 8.8731 7.9680 7.9680 31.98 90.00 90.00
Fractional positions:
Pr 0.0000 0.0000 0.0000
Pr 0.2315 0.2301 0.2301
Pr 0.5000 0.9969 0.9969
Pr 0.7685 0.2301 0.2301
As 0.0000 0.6417 0.6417
As 0.3231 0.6003 0.6003
As 0.6769 0.6003 0.6003
Se 0.0000 0.3692 0.3692
Se 0.2473 0.8679 0.8679
Se 0.5000 0.3527 0.3527
Se 0.7527 0.8679 0.8679

Computed properties:
The calculation puts the total energy at -59.93 eV/cell. The crystal system is orthorhombic.

(5)
Here is crystalline Pr2AsSe at its relaxed geometry from OQMD via LeMat-Bulk. Energies are from GGA-PBE.

Lattice parameters (Å, degrees): 4.2807 6.0491 8.6018 90.00 90.00 90.00
Fractional positions:
Pr 0.2500 0.2500 0.1174
Pr 0.2500 0.2500 0.6356
Pr 0.7500 0.7500 0.3644
Pr 0.7500 0.7500 0.8826
As 0.2500 0.7500 0.1265
As 0.7500 0.2500 0.8735
Se 0.2500 0.7500 0.6224
Se 0.7500 0.2500 0.3776

Computed properties:
The calculation puts the total energy at -49.22 eV/cell. Its polymorph energy (0 for the lowest one) is 0.0 meV per atom. The crystal system is orthorhombic.

(6)
Here is crystalline Pr2AsSe at its relaxed geometry from OQMD via LeMat-Bulk. Energies are from GGA-PBE.

Lattice parameters (Å, degrees): 4.2813 4.2813 6.0456 90.00 90.00 90.00
Fractional positions:
Pr 0.0000 0.0000 0.0000
Pr 0.5000 0.5000 0.5000
As 0.0000 0.0000 0.5000
Se 0.5000 0.5000 0.0000

Computed properties:
The calculation puts the total energy at -24.58 eV/cell. Its polymorph energy (0 for the lowest one) is 6.4 meV per atom. The crystal system is tetragonal.

(7)
Here is crystalline PrTlAsSe3 at its relaxed geometry from OQMD via LeMat-Bulk. Energies are from GGA-PBE.

Lattice parameters (Å, degrees): 8.1873 8.1873 10.2558 90.00 90.00 149.01
Fractional positions:
Pr 0.0000 0.0000 0.0000
Pr 0.0000 0.0000 0.5000
Tl 0.2618 0.7382 0.7500
Tl 0.7382 0.2618 0.2500
As 0.4541 0.5459 0.2500
As 0.5459 0.4541 0.7500
Se 0.1054 0.8946 0.2500
Se 0.3679 0.6321 0.0514
Se 0.3679 0.6321 0.4486
Se 0.6321 0.3679 0.5514
Se 0.6321 0.3679 0.9486
Se 0.8946 0.1054 0.7500

Computed properties:
The calculation puts the total energy at -53.35 eV/cell. The crystal system is orthorhombic.

(8)
Here is crystalline PrSiAs at its relaxed geometry from OQMD via LeMat-Bulk. Energies are from GGA-PBE.

Lattice parameters (Å, degrees): 4.7886 4.7886 4.7886 60.00 60.00 60.00
Fractional positions:
Pr 0.0000 0.0000 0.0000
Si 0.7500 0.7500 0.7500
As 0.5000 0.5000 0.5000

Computed properties:
The calculation puts the total energy at -15.42 eV/cell. The crystal system is cubic.